# MnCu2OsO8 | the Alexandria database | GGA+U | relaxed
# - Symmetry: I-4m2, No. 119
# - Magnetization: 0.41 μB/atom
# - Total energy: -73.6 eV per formula unit
data_MnCu2OsO8
_chemical_formula_sum 'Mn1 Cu2 Os1 O8'
_cell_length_a 5.575
_cell_length_b 5.575
_cell_length_c 5.575
_cell_angle_alpha 110.59
_cell_angle_beta 110.59
_cell_angle_gamma 107.25
_symmetry_space_group_name_H-M 'P 1'
_symmetry_Int_Tables_number 1
loop_
_symmetry_equiv_pos_as_xyz
'x,y,z'
loop_
_atom_site_label
_atom_site_fract_x
_atom_site_fract_y
_atom_site_fract_z
Mn1 0.000 0.000 0.000
Cu1 0.500 0.500 0.000
Cu2 0.750 0.250 0.500
Os1 0.250 0.750 0.500
O1 0.297 0.092 0.796
O2 0.297 0.501 0.204
O3 0.347 0.021 0.327
O4 0.499 0.703 0.796
O5 0.694 0.021 0.673
O6 0.908 0.703 0.204
O7 0.979 0.306 0.327
O8 0.979 0.653 0.673